VASP calculation (PBE-GGA) on crystalline ScTcPt2 at its relaxed geometry.

a b c (Å): 3.918 3.918 9.584
angles (deg): 78.21 78.21 90.00
Sites, in units of the cell vectors:
Sc 0.250 0.750 0.500
Tc 0.000 0.000 0.000
Tc 0.750 0.250 0.500
Pt 0.375 0.368 0.750
Sc 0.500 0.500 0.000
Pt 0.875 0.882 0.750
Pt 0.632 0.125 0.250
Pt 0.118 0.625 0.250

Calculated values
Excess energy over the best structure of this formula in the dataset ... 0.537 eV/atom
Energy of formation ... -0.098 eV/atom